1.
Compound: RbTmCdTe3
Source: OQMD
Functional: GGA-PBE
Structure: relaxed

Values from the calculation:
Its total energy is -3.669 eV per atom.

Structure (POSCAR):
```
RbTmCdTe3
1.0
9.549 0.000 0.000
0.000 4.493 0.000
-3.689 0.000 10.404
Rb Tm Cd Te
2 2 2 6
Direct
0.226 0.250 0.254
0.774 0.750 0.746
0.326 0.750 0.866
0.674 0.250 0.134
0.081 0.250 0.611
0.919 0.750 0.389
0.104 0.250 0.871
0.238 0.750 0.554
0.465 0.750 0.153
0.535 0.250 0.847
0.762 0.250 0.446
0.896 0.750 0.129
```

2.
Compound: Tm2Ni
Source: OQMD
Functional: GGA-PBE
Structure: relaxed

Values from the calculation:
Its total energy is -3.809 eV per atom.

Structure (POSCAR):
```
Tm2Ni
1.0
0.000 5.709 5.709
5.709 0.000 5.709
5.709 5.709 0.000
Tm Ni
4 2
Direct
0.000 0.000 0.000
0.000 0.000 0.500
0.000 0.500 0.000
0.500 0.000 0.000
0.125 0.125 0.125
0.875 0.875 0.875
```

3.
Compound: HfZr3
Source: OQMD
Functional: GGA-PBE
Structure: relaxed

Values from the calculation:
Its total energy is -8.897 eV per atom.

Structure (POSCAR):
```
HfZr3
1.0
3.220 -5.575 0.000
3.220 5.575 0.000
0.000 0.000 5.147
Hf Zr
2 6
Direct
0.083 0.917 0.750
0.917 0.083 0.250
0.082 0.415 0.750
0.415 0.082 0.250
0.416 0.584 0.250
0.584 0.416 0.750
0.585 0.918 0.750
0.918 0.585 0.250
```

4.
Compound: Y4NiB13
Source: OQMD
Functional: GGA-PBE
Structure: relaxed

Values from the calculation:
Its total energy is -7.030 eV per atom.

Structure (POSCAR):
```
Y4NiB13
1.0
7.317 0.000 0.000
0.000 7.317 0.000
0.000 0.000 6.909
Y Ni B
8 2 26
Direct
0.180 0.315 0.000
0.185 0.320 0.500
0.315 0.820 0.000
0.320 0.815 0.500
0.680 0.185 0.500
0.685 0.180 0.000
0.815 0.680 0.500
0.820 0.685 0.000
0.000 0.000 0.500
0.500 0.500 0.000
0.000 0.000 0.000
0.040 0.830 0.243
0.040 0.830 0.757
0.092 0.592 0.250
0.092 0.592 0.750
0.170 0.040 0.243
0.170 0.040 0.757
0.330 0.540 0.257
0.330 0.540 0.743
0.408 0.092 0.250
0.408 0.092 0.750
0.460 0.330 0.257
0.460 0.330 0.743
0.500 0.500 0.500
0.540 0.670 0.257
0.540 0.670 0.743
0.592 0.908 0.250
0.592 0.908 0.750
0.670 0.460 0.257
0.670 0.460 0.743
0.830 0.960 0.243
0.830 0.960 0.757
0.908 0.408 0.250
0.908 0.408 0.750
0.960 0.170 0.243
0.960 0.170 0.757
```

5.
Compound: PrY2In3Pd3
Source: OQMD
Functional: GGA-PBE
Structure: relaxed

Values from the calculation:
Its total energy is -5.411 eV per atom.

Structure (POSCAR):
```
PrY2In3Pd3
1.0
3.959 0.000 0.000
0.000 6.668 3.855
0.000 -6.668 3.855
Pr Y In Pd
1 2 3 3
Direct
0.000 0.000 0.000
0.000 0.411 0.820
0.000 0.820 0.411
0.500 0.155 0.414
0.500 0.414 0.155
0.500 0.663 0.663
0.000 0.412 0.412
0.500 0.078 0.740
0.500 0.740 0.078
```

6.
Compound: DyLuSi
Source: OQMD
Functional: GGA-PBE
Structure: relaxed

Values from the calculation:
Its total energy is -5.298 eV per atom.

Structure (POSCAR):
```
DyLuSi
1.0
0.000 3.381 3.381
3.381 0.000 3.381
3.381 3.381 0.000
Dy Lu Si
1 1 1
Direct
0.000 0.000 0.000
0.500 0.500 0.500
0.250 0.250 0.250
```